1.
# K2Ba | the Alexandria database | GGA-PBE | optimized geometry
data_K2Ba
_chemical_formula_sum 'K2 Ba1'
_space_group_name_H-M_alt 'P 1'
_space_group_IT_number 1
_space_group_name_Hall 'P 1'
_cell_length_a 7.7307
_cell_length_b 7.7307
_cell_length_c 4.6328
_cell_angle_alpha 90.00
_cell_angle_beta 90.00
_cell_angle_gamma 90.00
loop_
_atom_site_label
_atom_site_type_symbol
_atom_site_fract_x
_atom_site_fract_y
_atom_site_fract_z
K1 K 0.0000 0.5000 0.0000
K2 K 0.5000 0.0000 0.0000
Ba1 Ba 0.0000 0.0000 0.5000
# Energy ... -3.242 eV per cell
# SG ... P4/mmm, No. 123

2.
# K3Ba2 | the Alexandria database | GGA-PBE | optimized geometry
data_K3Ba2
_chemical_formula_sum 'K6 Ba4'
_space_group_name_H-M_alt 'P 1'
_space_group_IT_number 1
_space_group_name_Hall 'P 1'
_cell_length_a 9.0243
_cell_length_b 9.0243
_cell_length_c 9.0243
_cell_angle_alpha 89.76
_cell_angle_beta 89.76
_cell_angle_gamma 89.76
loop_
_atom_site_label
_atom_site_type_symbol
_atom_site_fract_x
_atom_site_fract_y
_atom_site_fract_z
K1 K 0.0757 0.7500 0.4243
K2 K 0.2500 0.5757 0.9243
K3 K 0.4243 0.0757 0.7500
K4 K 0.5757 0.9243 0.2500
K5 K 0.7500 0.4243 0.0757
K6 K 0.9243 0.2500 0.5757
Ba1 Ba 0.1246 0.1246 0.1246
Ba2 Ba 0.3754 0.3754 0.3754
Ba3 Ba 0.6246 0.6246 0.6246
Ba4 Ba 0.8754 0.8754 0.8754
# Energy ... -11.696 eV per cell
# SG ... R-3c, No. 167
# Energy above the most stable polymorph in this dataset ... 0.219 eV/atom

3.
# KBa5 | the Alexandria database | GGA-PBE | optimized geometry
data_KBa5
_chemical_formula_sum 'K2 Ba10'
_space_group_name_H-M_alt 'P 1'
_space_group_IT_number 1
_space_group_name_Hall 'P 1'
_cell_length_a 7.4330
_cell_length_b 4.4975
_cell_length_c 23.4874
_cell_angle_alpha 90.00
_cell_angle_beta 90.00
_cell_angle_gamma 90.00
loop_
_atom_site_label
_atom_site_type_symbol
_atom_site_fract_x
_atom_site_fract_y
_atom_site_fract_z
K1 K 0.0000 0.0000 0.0000
K2 K 0.0000 0.5000 0.5000
Ba1 Ba 0.0000 0.0000 0.3319
Ba2 Ba 0.0000 0.0000 0.6673
Ba3 Ba 0.0000 0.5000 0.1673
Ba4 Ba 0.0000 0.5000 0.8319
Ba5 Ba 0.5000 0.0000 0.1134
Ba6 Ba 0.5000 0.0000 0.4432
Ba7 Ba 0.5000 0.0000 0.7762
Ba8 Ba 0.5000 0.5000 0.2762
Ba9 Ba 0.5000 0.5000 0.6134
Ba10 Ba 0.5000 0.5000 0.9432
# Energy ... -20.725 eV per cell
# SG ... Amm2, No. 38
# Energy above the most stable polymorph in this dataset ... 0.010 eV/atom

4.
# KBa2 | the Alexandria database | GGA-PBE | optimized geometry
data_KBa2
_chemical_formula_sum 'K4 Ba8'
_space_group_name_H-M_alt 'P 1'
_space_group_IT_number 1
_space_group_name_Hall 'P 1'
_cell_length_a 9.4564
_cell_length_b 9.4564
_cell_length_c 9.4564
_cell_angle_alpha 90.00
_cell_angle_beta 90.00
_cell_angle_gamma 90.00
loop_
_atom_site_label
_atom_site_type_symbol
_atom_site_fract_x
_atom_site_fract_y
_atom_site_fract_z
K1 K 0.0000 0.0000 0.0000
K2 K 0.0000 0.5000 0.5000
K3 K 0.5000 0.0000 0.5000
K4 K 0.5000 0.5000 0.0000
Ba1 Ba 0.1379 0.6379 0.8621
Ba2 Ba 0.1379 0.8621 0.3621
Ba3 Ba 0.3621 0.1379 0.8621
Ba4 Ba 0.3621 0.3621 0.3621
Ba5 Ba 0.6379 0.6379 0.6379
Ba6 Ba 0.6379 0.8621 0.1379
Ba7 Ba 0.8621 0.1379 0.6379
Ba8 Ba 0.8621 0.3621 0.1379
# Energy ... -14.917 eV per cell
# SG ... Pa-3, No. 205

5.
# K2Ba | the Alexandria database | GGA-PBE | optimized geometry
data_K2Ba
_chemical_formula_sum 'K8 Ba4'
_space_group_name_H-M_alt 'P 1'
_space_group_IT_number 1
_space_group_name_Hall 'P 1'
_cell_length_a 17.4440
_cell_length_b 4.4202
_cell_length_c 11.1002
_cell_angle_alpha 90.00
_cell_angle_beta 103.53
_cell_angle_gamma 90.00
loop_
_atom_site_label
_atom_site_type_symbol
_atom_site_fract_x
_atom_site_fract_y
_atom_site_fract_z
K1 K 0.1311 0.0000 0.0205
K2 K 0.2014 0.0000 0.6495
K3 K 0.2986 0.5000 0.3505
K4 K 0.3689 0.5000 0.9795
K5 K 0.6311 0.5000 0.0205
K6 K 0.7014 0.5000 0.6495
K7 K 0.7986 0.0000 0.3505
K8 K 0.8689 0.0000 0.9795
Ba1 Ba 0.0298 0.5000 0.3231
Ba2 Ba 0.4702 0.0000 0.6769
Ba3 Ba 0.5298 0.0000 0.3231
Ba4 Ba 0.9702 0.5000 0.6769
# Energy ... -15.291 eV per cell
# SG ... C2/m, No. 12

6.
# K15Ba | the Alexandria database | GGA-PBE | optimized geometry
data_K15Ba
_chemical_formula_sum 'K15 Ba1'
_space_group_name_H-M_alt 'P 1'
_space_group_IT_number 1
_space_group_name_Hall 'P 1'
_cell_length_a 9.3567
_cell_length_b 9.3567
_cell_length_c 15.1799
_cell_angle_alpha 90.00
_cell_angle_beta 90.00
_cell_angle_gamma 120.00
loop_
_atom_site_label
_atom_site_type_symbol
_atom_site_fract_x
_atom_site_fract_y
_atom_site_fract_z
K1 K 0.0000 0.0000 0.0000
K2 K 0.0015 0.5007 0.0000
K3 K 0.3332 0.1666 0.2494
K4 K 0.3332 0.1666 0.7506
K5 K 0.3333 0.6667 0.2563
K6 K 0.3333 0.6667 0.7437
K7 K 0.4993 0.5007 0.0000
K8 K 0.4993 0.9985 0.0000
K9 K 0.5014 0.0028 0.5000
K10 K 0.5014 0.4986 0.5000
K11 K 0.8334 0.1666 0.2494
K12 K 0.8334 0.1666 0.7506
K13 K 0.8334 0.6668 0.2494
K14 K 0.8334 0.6668 0.7506
K15 K 0.9972 0.4986 0.5000
Ba1 Ba 0.0000 0.0000 0.5000
# Energy ... -17.948 eV per cell
# SG ... P-6m2, No. 187

7.
# K2Ba | the Alexandria database | GGA-PBE | optimized geometry
data_K2Ba
_chemical_formula_sum 'K4 Ba2'
_space_group_name_H-M_alt 'P 1'
_space_group_IT_number 1
_space_group_name_Hall 'P 1'
_cell_length_a 8.3316
_cell_length_b 8.3316
_cell_length_c 8.3316
_cell_angle_alpha 60.00
_cell_angle_beta 60.00
_cell_angle_gamma 60.00
loop_
_atom_site_label
_atom_site_type_symbol
_atom_site_fract_x
_atom_site_fract_y
_atom_site_fract_z
K1 K 0.0000 0.0000 0.0000
K2 K 0.0000 0.0000 0.5000
K3 K 0.0000 0.5000 0.0000
K4 K 0.5000 0.0000 0.0000
Ba1 Ba 0.3750 0.3750 0.3750
Ba2 Ba 0.6250 0.6250 0.6250
# Energy ... -7.571 eV per cell
# SG ... Fd-3m, No. 227

8.
# KBa5 | the Alexandria database | GGA-PBE | optimized geometry
data_KBa5
_chemical_formula_sum 'K1 Ba5'
_space_group_name_H-M_alt 'P 1'
_space_group_IT_number 1
_space_group_name_Hall 'P 1'
_cell_length_a 7.8282
_cell_length_b 7.8282
_cell_length_c 7.4307
_cell_angle_alpha 90.00
_cell_angle_beta 90.00
_cell_angle_gamma 120.00
loop_
_atom_site_label
_atom_site_type_symbol
_atom_site_fract_x
_atom_site_fract_y
_atom_site_fract_z
K1 K 0.0000 0.0000 0.0000
Ba1 Ba 0.0000 0.6623 0.5000
Ba2 Ba 0.3333 0.6667 0.0000
Ba3 Ba 0.3377 0.3377 0.5000
Ba4 Ba 0.6623 0.0000 0.5000
Ba5 Ba 0.6667 0.3333 0.0000
# Energy ... -10.290 eV per cell
# SG ... P-62m, No. 189
# Energy above the most stable polymorph in this dataset ... 0.022 eV/atom

9.
# K2Ba | the Alexandria database | GGA-PBE | optimized geometry
data_K2Ba
_chemical_formula_sum 'K8 Ba4'
_space_group_name_H-M_alt 'P 1'
_space_group_IT_number 1
_space_group_name_Hall 'P 1'
_cell_length_a 10.2897
_cell_length_b 10.2897
_cell_length_c 10.2897
_cell_angle_alpha 90.00
_cell_angle_beta 90.00
_cell_angle_gamma 90.00
loop_
_atom_site_label
_atom_site_type_symbol
_atom_site_fract_x
_atom_site_fract_y
_atom_site_fract_z
K1 K 0.2500 0.2500 0.2500
K2 K 0.2500 0.2500 0.7500
K3 K 0.2500 0.7500 0.2500
K4 K 0.2500 0.7500 0.7500
K5 K 0.7500 0.2500 0.2500
K6 K 0.7500 0.2500 0.7500
K7 K 0.7500 0.7500 0.2500
K8 K 0.7500 0.7500 0.7500
Ba1 Ba 0.0000 0.0000 0.0000
Ba2 Ba 0.0000 0.5000 0.5000
Ba3 Ba 0.5000 0.0000 0.5000
Ba4 Ba 0.5000 0.5000 0.0000
# Energy ... -11.798 eV per cell
# SG ... Fm-3m, No. 225

10.
# KBa5 | the Alexandria database | GGA-PBE | optimized geometry
data_KBa5
_chemical_formula_sum 'K2 Ba10'
_space_group_name_H-M_alt 'P 1'
_space_group_IT_number 1
_space_group_name_Hall 'P 1'
_cell_length_a 7.1977
_cell_length_b 21.6409
_cell_length_c 4.9933
_cell_angle_alpha 90.00
_cell_angle_beta 90.00
_cell_angle_gamma 90.00
loop_
_atom_site_label
_atom_site_type_symbol
_atom_site_fract_x
_atom_site_fract_y
_atom_site_fract_z
K1 K 0.0000 0.0000 0.0000
K2 K 0.5000 0.5000 0.0000
Ba1 Ba 0.0000 0.1671 0.5000
Ba2 Ba 0.0000 0.3304 0.0000
Ba3 Ba 0.0000 0.5000 0.5000
Ba4 Ba 0.0000 0.6696 0.0000
Ba5 Ba 0.0000 0.8329 0.5000
Ba6 Ba 0.5000 0.0000 0.5000
Ba7 Ba 0.5000 0.1696 0.0000
Ba8 Ba 0.5000 0.3329 0.5000
Ba9 Ba 0.5000 0.6671 0.5000
Ba10 Ba 0.5000 0.8304 0.0000
# Energy ... -20.768 eV per cell
# SG ... Cmmm, No. 65
# Energy above the most stable polymorph in this dataset ... 0.006 eV/atom